1.
First-principles (PBE) data for crystalline Y2CuSi2Au at its relaxed geometry, as listed in the Open Quantum Materials Database.

Lattice parameters (Å, degrees): 4.226 4.226 7.709 90.00 90.00 120.00
Positions (direct):
Y 0.000 0.000 0.243
Y 0.000 0.000 0.757
Cu 0.333 0.667 0.000
Si 0.333 0.667 0.500
Si 0.667 0.333 0.000
Au 0.667 0.333 0.500

Summary:
- electronic total energy (Ha/atom) = -0.2156

2.
First-principles (PBE) data for crystalline Si3NiSb4 at its relaxed geometry, as listed in the Open Quantum Materials Database.

Lattice parameters (Å, degrees): 7.339 7.339 7.339 131.74 131.74 70.64
Positions (direct):
Si 0.000 0.000 0.000
Si 0.250 0.750 0.500
Si 0.750 0.250 0.500
Ni 0.500 0.500 0.000
Sb 0.149 0.620 0.000
Sb 0.380 0.380 0.529
Sb 0.620 0.149 0.000
Sb 0.851 0.851 0.471

Summary:
- electronic total energy (Ha/atom) = -0.1702

3.
First-principles (PBE) data for crystalline MgInCuW at its relaxed geometry, as listed in the Open Quantum Materials Database.

Lattice parameters (Å, degrees): 4.585 4.585 4.585 60.00 60.00 60.00
Positions (direct):
Mg 0.000 0.000 0.000
In 0.250 0.250 0.250
Cu 0.500 0.500 0.500
W 0.750 0.750 0.750

Summary:
- electronic total energy (Ha/atom) = -0.1676

4.
First-principles (PBE) data for crystalline TmSc2S3 at its relaxed geometry, as listed in the Open Quantum Materials Database.

Lattice parameters (Å, degrees): 3.740 3.740 9.145 90.00 90.00 120.00
Positions (direct):
Tm 0.000 0.000 0.000
Sc 0.333 0.667 0.660
Sc 0.667 0.333 0.340
S 0.000 0.000 0.500
S 0.333 0.667 0.176
S 0.667 0.333 0.824

Summary:
- electronic total energy (Ha/atom) = -0.2502